Density functional theory data (PBE) for a geometry-optimized Ba2BiF structure.

Cell lengths 5.836, 5.836, 5.836 Å; angles 60.00, 60.00, 60.00 degrees
Element x y z (fractional)
Ba1 0.250 0.250 0.250
Ba2 0.750 0.750 0.750
Bi1 0.000 0.000 0.000
F1 0.500 0.500 0.500

Results
E_form (uncorrected): -159.6 kJ per mole of atoms
space group: No. 225
density of states at the Fermi level: 0.0 states/eV/f.u.
calculated total energy: -4.054 eV per atom
volume: 35.13 A^3/atom
E above lowest polymorph: 0.304 eV per atom